# PBE Ca2InRh, relaxed
data_Ca2InRh
_symmetry_space_group_name_H-M 'R -3 m'
_symmetry_Int_Tables_number 166
_symmetry_space_group_name_Hall '-R 3 2"'
_cell_length_a 3.5567
_cell_length_b 3.5567
_cell_length_c 28.1899
_cell_angle_alpha 90.00
_cell_angle_beta 90.00
_cell_angle_gamma 120.00
loop_
_atom_site_label
_atom_site_fract_x
_atom_site_fract_y
_atom_site_fract_z
Ca1 0.0000 0.0000 0.2365
In1 0.0000 0.0000 0.0000
Rh1 0.0000 0.0000 0.5000
# Density (g/cm3): 4.8
# Magnetic moment (μB per atom): 0.000
# DOS at the Fermi energy (states/eV per atom): 0.611
# Energy of formation from the pure elements (eV/atom): -0.202

---

# PBE NaNpSe2, relaxed
data_NaNpSe2
_symmetry_space_group_name_H-M 'P 4/m m m'
_symmetry_Int_Tables_number 123
_symmetry_space_group_name_Hall '-P 4 2'
_cell_length_a 3.562
_cell_length_b 3.562
_cell_length_c 7.440
_cell_angle_alpha 90.00
_cell_angle_beta 90.00
_cell_angle_gamma 90.00
loop_
_atom_site_label
_atom_site_fract_x
_atom_site_fract_y
_atom_site_fract_z
Na1 0.000 0.000 0.000
Np1 0.000 0.000 0.500
Se1 0.500 0.500 0.273
# Density (g/cm3): 7.4
# Magnetic moment (μB per atom): 1.000
# DOS at the Fermi energy (states/eV per atom): 1.738
# Total DFT energy (no corrections) (eV per atom): -6.365

---

# PBE Sr2SiAg, relaxed
data_Sr2SiAg
_symmetry_space_group_name_H-M 'P 1 21/m 1'
_symmetry_Int_Tables_number 11
_cell_length_a 6.224
_cell_length_b 4.652
_cell_length_c 8.897
_cell_angle_alpha 90.00
_cell_angle_beta 109.15
_cell_angle_gamma 90.00
loop_
_symmetry_equiv_pos_as_xyz
'x,y,z'
'-x,-y,-z'
'-x,y+1/2,-z'
'x,-y+1/2,z'
loop_
_atom_site_label
_atom_site_fract_x
_atom_site_fract_y
_atom_site_fract_z
Sr1 0.206 0.250 0.430
Sr2 0.282 0.750 0.073
Si1 0.157 0.250 0.785
Ag1 0.333 0.750 0.726
# Density (g/cm3): 4.2
# Magnetic moment (μB per atom): 0.000
# DOS at the Fermi energy (states/eV per atom): 0.699
# Total DFT energy (no corrections) (eV per atom): -3.231

---

# PBE BaCu2Ag, relaxed
data_BaCu2Ag
_symmetry_space_group_name_H-M 'F m -3 m'
_symmetry_Int_Tables_number 225
_symmetry_space_group_name_Hall '-F 4 2 3'
_cell_length_a 7.216
_cell_length_b 7.216
_cell_length_c 7.216
_cell_angle_alpha 90.00
_cell_angle_beta 90.00
_cell_angle_gamma 90.00
loop_
_atom_site_label
_atom_site_fract_x
_atom_site_fract_y
_atom_site_fract_z
Ba1 0.000 0.000 0.000
Cu1 0.250 0.250 0.250
Ag1 0.000 0.000 0.500
# Density (g/cm3): 6.6
# Magnetic moment (μB per atom): 0.000
# DOS at the Fermi energy (states/eV per atom): 0.318
# Energy of formation from the pure elements (eV/atom): 0.240

---

# PBE Na2MgPdO4, relaxed
data_Na2MgPdO4
_symmetry_space_group_name_H-M 'P 1 2/m 1'
_symmetry_Int_Tables_number 10
_cell_length_a 5.350
_cell_length_b 3.104
_cell_length_c 5.667
_cell_angle_alpha 90.00
_cell_angle_beta 108.34
_cell_angle_gamma 90.00
loop_
_symmetry_equiv_pos_as_xyz
'x,y,z'
'-x,-y,-z'
'-x,y,-z'
'x,-y,z'
loop_
_atom_site_label
_atom_site_fract_x
_atom_site_fract_y
_atom_site_fract_z
Na1 0.000 0.000 0.000
Na2 0.500 0.500 0.000
Mg1 0.000 0.500 0.500
Pd1 0.500 0.000 0.500
O1 0.239 0.000 0.706
O2 0.277 0.500 0.300
# Density (g/cm3): 4.5
# Magnetic moment (μB per atom): 0.000
# Total DFT energy (no corrections) (eV per atom): -5.137

---

# PBE AgBiRh2, relaxed
data_AgBiRh2
_symmetry_space_group_name_H-M 'P 4/m m m'
_symmetry_Int_Tables_number 123
_symmetry_space_group_name_Hall '-P 4 2'
_cell_length_a 4.349
_cell_length_b 4.349
_cell_length_c 3.702
_cell_angle_alpha 90.00
_cell_angle_beta 90.00
_cell_angle_gamma 90.00
loop_
_atom_site_label
_atom_site_fract_x
_atom_site_fract_y
_atom_site_fract_z
Ag1 0.000 0.000 0.000
Bi1 0.500 0.500 0.000
Rh1 0.000 0.500 0.500
# Density (g/cm3): 12.4
# Magnetic moment (μB per atom): 0.000
# DOS at the Fermi energy (states/eV per atom): 0.380
# Energy of formation from the pure elements (eV/atom): 0.081

---

# PBE NbAsPd2, relaxed
data_NbAsPd2
_symmetry_space_group_name_H-M 'I -4 2 d'
_symmetry_Int_Tables_number 122
_symmetry_space_group_name_Hall 'I -4 2bw'
_cell_length_a 3.813
_cell_length_b 3.813
_cell_length_c 18.985
_cell_angle_alpha 90.00
_cell_angle_beta 90.00
_cell_angle_gamma 90.00
loop_
_atom_site_label
_atom_site_fract_x
_atom_site_fract_y
_atom_site_fract_z
Nb1 0.000 0.000 0.000
As1 0.000 0.000 0.500
Pd1 0.246 0.250 0.625
# Density (g/cm3): 9.2
# Magnetic moment (μB per atom): 0.000
# DOS at the Fermi energy (states/eV per atom): 0.908
# Energy of formation from the pure elements (eV/atom): -0.140

---

# PBE MnFeCuMoAu, relaxed
data_MnFeCuMoAu
_symmetry_space_group_name_H-M 'A m m 2'
_symmetry_Int_Tables_number 38
_cell_length_a 2.696
_cell_length_b 4.027
_cell_length_c 13.096
_cell_angle_alpha 90.00
_cell_angle_beta 90.00
_cell_angle_gamma 90.00
loop_
_symmetry_equiv_pos_as_xyz
'x,y,z'
'-x,-y,z'
'-x,y,z'
'x,-y,z'
'x,y+1/2,z+1/2'
'-x,-y+1/2,z+1/2'
'-x,y+1/2,z+1/2'
'x,-y+1/2,z+1/2'
loop_
_atom_site_label
_atom_site_fract_x
_atom_site_fract_y
_atom_site_fract_z
Mn1 0.000 0.000 0.000
Fe1 0.000 0.000 0.606
Cu1 0.000 0.000 0.796
Mo1 0.500 0.000 0.183
Au1 0.500 0.000 0.402
# Density (g/cm3): 10.9
# Magnetic moment (μB per atom): 0.964
# ΔE to the lowest computed polymorph (meV per atom): 106
# DOS at the Fermi energy (states/eV per atom): 0.872
# Energy of formation from the pure elements (eV/atom): 0.228